Crystalline PmNd3Er2S6 at its relaxed geometry. Source: Alexandria via LeMat-Bulk, functional PBE.

Calculated values
Spin magnetization ... 0.00 Bohr magnetons per cell
Uncorrected energy ... -6.421 eV per atom

a b c (Å): 6.897 6.897 6.972
angles (deg): 99.47 99.47 120.14
Positions (direct):
Pm1 0.000 0.000 0.000
Nd1 0.162 0.838 0.500
Nd2 0.500 0.500 0.500
Nd3 0.838 0.162 0.500
Er1 0.334 0.666 0.000
Er2 0.666 0.334 0.000
S1 0.079 0.422 0.237
S2 0.265 0.265 0.767
S3 0.422 0.079 0.237
S4 0.578 0.921 0.763
S5 0.735 0.735 0.233
S6 0.921 0.578 0.763

Crystalline Mg3FeBi at its relaxed geometry. Source: Alexandria via LeMat-Bulk, functional PBE.

Calculated values
Spin magnetization ... 1.91 Bohr magnetons per cell
E above lowest polymorph ... 0.0 kJ/mol of atoms
Uncorrected energy ... -2.987 eV per atom
E_form ... 0.438 eV/atom

a b c (Å): 4.975 4.975 4.975
angles (deg): 90.00 90.00 90.00
Positions (direct):
Mg1 0.000 0.000 0.500
Mg2 0.000 0.500 0.000
Mg3 0.500 0.000 0.000
Fe1 0.000 0.000 0.000
Bi1 0.500 0.500 0.500

Copy entry 2 word for word.
Crystalline Mg3FeBi at its relaxed geometry. Source: Alexandria via LeMat-Bulk, functional PBE.

Calculated values
Spin magnetization ... 1.91 Bohr magnetons per cell
E above lowest polymorph ... 0.0 kJ/mol of atoms
Uncorrected energy ... -2.987 eV per atom
E_form ... 0.438 eV/atom

a b c (Å): 4.975 4.975 4.975
angles (deg): 90.00 90.00 90.00
Positions (direct):
Mg1 0.000 0.000 0.500
Mg2 0.000 0.500 0.000
Mg3 0.500 0.000 0.000
Fe1 0.000 0.000 0.000
Bi1 0.500 0.500 0.500

What is the formula in the first record?
PmNd3Er2S6

Please write out number 1 again, unchanged.
Crystalline PmNd3Er2S6 at its relaxed geometry. Source: Alexandria via LeMat-Bulk, functional PBE.

Calculated values
Spin magnetization ... 0.00 Bohr magnetons per cell
Uncorrected energy ... -6.421 eV per atom

a b c (Å): 6.897 6.897 6.972
angles (deg): 99.47 99.47 120.14
Positions (direct):
Pm1 0.000 0.000 0.000
Nd1 0.162 0.838 0.500
Nd2 0.500 0.500 0.500
Nd3 0.838 0.162 0.500
Er1 0.334 0.666 0.000
Er2 0.666 0.334 0.000
S1 0.079 0.422 0.237
S2 0.265 0.265 0.767
S3 0.422 0.079 0.237
S4 0.578 0.921 0.763
S5 0.735 0.735 0.233
S6 0.921 0.578 0.763